An optimized crystal structure of Ca4ErHf3As8, computed with PBE.

ΔE_f, eV/f.u.: -18.7

Lattice parameters (Å, degrees): 7.9957 7.9957 20.4524 90.00 90.00 120.00
Space group R-3m (No. 166, hexagonal axes)
One atom of each set of equivalent atoms:
Ca1 0.0000 0.0000 0.0000 [3 per cell]
Ca2 0.0000 0.5000 0.0000 [9 per cell]
Er1 0.0000 0.0000 0.5000 [3 per cell]
Hf1 0.0000 0.5000 0.5000 [9 per cell]
As1 0.0000 0.0000 0.2409 [6 per cell]
As2 0.0102 0.5051 0.7577 [18 per cell]

An optimized crystal structure of CaHo2ErAs4, computed with PBE.

ΔE_f, eV/f.u.: -10.9

Lattice parameters (Å, degrees): 7.159 4.112 7.164 90.00 109.27 90.00
Space group P2/m (No. 10)
One atom of each set of equivalent atoms:
Ca1 0.000 0.000 0.000 [1 per cell]
Ho1 0.500 0.000 0.500 [1 per cell]
Ho2 0.500 0.500 0.000 [1 per cell]
Er1 0.000 0.500 0.500 [1 per cell]
As1 0.252 0.000 0.746 [2 per cell]
As2 0.257 0.500 0.258 [2 per cell]

An optimized crystal structure of CaLa2ErAs4, computed with PBE.

ΔE_f, eV/f.u.: -10.9

Lattice parameters (Å, degrees): 7.306 4.296 7.475 90.00 109.77 90.00
Space group P2/m (No. 10)
One atom of each set of equivalent atoms:
Ca1 0.000 0.000 0.000 [1 per cell]
La1 0.500 0.000 0.500 [1 per cell]
La2 0.500 0.500 0.000 [1 per cell]
Er1 0.000 0.500 0.500 [1 per cell]
As1 0.238 0.000 0.740 [2 per cell]
As2 0.242 0.500 0.254 [2 per cell]

An optimized crystal structure of Ca2ErNpAs4, computed with PBE.

ΔE_f, eV/f.u.: -8.7

Lattice parameters (Å, degrees): 7.157 4.176 7.233 90.00 109.21 90.00
Space group P2/m (No. 10)
One atom of each set of equivalent atoms:
Ca1 0.000 0.000 0.000 [1 per cell]
Ca2 0.500 0.500 0.000 [1 per cell]
Er1 0.000 0.500 0.500 [1 per cell]
Np1 0.500 0.000 0.500 [1 per cell]
As1 0.252 0.000 0.730 [2 per cell]
As2 0.263 0.500 0.272 [2 per cell]

An optimized crystal structure of CaErNp2As4, computed with PBE.

ΔE_f, eV/f.u.: -7.7

Lattice parameters (Å, degrees): 7.145 4.124 7.174 90.00 109.40 90.00
Space group P2/m (No. 10)
One atom of each set of equivalent atoms:
Ca1 0.000 0.000 0.000 [1 per cell]
Er1 0.000 0.500 0.500 [1 per cell]
Np1 0.500 0.000 0.500 [1 per cell]
Np2 0.500 0.500 0.000 [1 per cell]
As1 0.254 0.000 0.747 [2 per cell]
As2 0.261 0.500 0.259 [2 per cell]

An optimized crystal structure of CaEr2NpAs4, computed with PBE.

ΔE_f, eV/f.u.: -9.5

Lattice parameters (Å, degrees): 7.123 4.118 7.125 90.00 108.98 90.00
Space group P2/m (No. 10)
One atom of each set of equivalent atoms:
Ca1 0.000 0.000 0.000 [1 per cell]
Er1 0.000 0.500 0.500 [1 per cell]
Er2 0.500 0.000 0.500 [1 per cell]
Np1 0.500 0.500 0.000 [1 per cell]
As1 0.255 0.000 0.748 [2 per cell]
As2 0.261 0.500 0.253 [2 per cell]

Number 1: magnetization 0.00 μB/cell, VASP energy -6.147 eV per atom. Number 2: magnetization 0.00 μB/cell, VASP energy -5.653 eV per atom. Number 3: magnetization 0.00 μB/cell, VASP energy -5.741 eV per atom. Number 4: magnetization 2.03 μB/cell, VASP energy -6.103 eV per atom. Number 5: magnetization 0.30 μB/cell, VASP energy -7.348 eV per atom. Number 6: magnetization 3.03 μB/cell, VASP energy -6.521 eV per atom.